# 1
A geometry-optimized TmAlAu4 structure. Source: the Alexandria database, functional GGA-PBE.

Lattice parameters (Å, degrees): 3.7110 3.5455 8.7753 90.00 95.63 90.00
Space group P2/m (No. 10)
One atom of each set of equivalent atoms:
Tm  0.0000  0.0000  0.0000 (multiplicity 1)
Al  0.5000  0.5000  0.5000 (multiplicity 1)
Au  0.0776  0.0000  0.3474 (multiplicity 2)
Au  0.4585  0.5000  0.8227 (multiplicity 2)

Results
Fermi-level density of states = 1.9 states/eV per cell
Size of the total moment = 0.000 μB per cell
Formation energy = -541 meV/atom
Uncorrected energy = -4.095 eV/atom

---

# 2
A geometry-optimized TmAl4Au12 structure. Source: the Alexandria database, functional GGA-PBE.

Lattice parameters (Å, degrees): 8.8952 8.8952 8.8952 90.00 90.00 90.00
Space group Im-3 (No. 204)
One atom of each set of equivalent atoms:
Tm  0.0000  0.0000  0.0000 (multiplicity 2)
Al  0.2500  0.2500  0.2500 (multiplicity 8)
Au  0.0000  0.1555  0.3410 (multiplicity 24)

Results
Fermi-level density of states = 12.9 states/eV per cell
Size of the total moment = 0.000 μB per cell
Formation energy = -166 meV/atom
Uncorrected energy = -3.623 eV/atom

---

# 3
A geometry-optimized TmAl2Au2 structure. Source: the Alexandria database, functional GGA-PBE.

Lattice parameters (Å, degrees): 4.0608 4.0608 11.9445 90.00 90.00 90.00
Space group I4/mmm (No. 139)
One atom of each set of equivalent atoms:
Tm  0.0000  0.0000  0.0000 (multiplicity 2)
Al  0.0000  0.5000  0.2500 (multiplicity 4)
Au  0.0000  0.0000  0.3852 (multiplicity 4)

Results
Fermi-level density of states = 5.6 states/eV per cell
Size of the total moment = 0.000 μB per cell
Formation energy = -674 meV/atom
Uncorrected energy = -4.376 eV/atom

---

# 4
A geometry-optimized Tm8Al2Au structure. Source: the Alexandria database, functional GGA-PBE.

Lattice parameters (Å, degrees): 18.3405 4.9760 6.5838 90.00 102.43 90.00
Space group C2/m (No. 12)
One atom of each set of equivalent atoms:
Tm  0.0230  0.0000  0.2698 (multiplicity 4)
Tm  0.0943  0.5000  0.9620 (multiplicity 4)
Tm  0.1545  0.5000  0.4755 (multiplicity 4)
Tm  0.2102  0.0000  0.8074 (multiplicity 4)
Al  0.1885  0.0000  0.2522 (multiplicity 4)
Au  0.0000  0.5000  0.5000 (multiplicity 2)

Results
Fermi-level density of states = 21.6 states/eV per cell
Size of the total moment = 0.000 μB per cell
Formation energy = -273 meV/atom
Uncorrected energy = -4.504 eV/atom

---

# 5
A geometry-optimized Tm2AlAu2 structure. Source: the Alexandria database, functional GGA-PBE.

Lattice parameters (Å, degrees): 7.0532 11.6519 5.7550 90.00 90.00 90.00
Space group Ibam (No. 72)
One atom of each set of equivalent atoms:
Tm  0.1677  0.1553  0.0000 (multiplicity 8)
Al  0.0000  0.5000  0.2500 (multiplicity 4)
Au  0.2403  0.1065  0.5000 (multiplicity 8)

Results
Fermi-level density of states = 8.1 states/eV per cell
Size of the total moment = 0.000 μB per cell
Formation energy = -685 meV/atom
Uncorrected energy = -4.533 eV/atom

---

# 6
A geometry-optimized TmAl4Au8 structure. Source: the Alexandria database, functional GGA-PBE.

Lattice parameters (Å, degrees): 9.1488 9.1488 5.6140 90.00 90.00 90.00
Space group I4/mmm (No. 139)
One atom of each set of equivalent atoms:
Tm  0.0000  0.0000  0.0000 (multiplicity 2)
Al  0.2500  0.2500  0.2500 (multiplicity 8)
Au  0.0000  0.2202  0.5000 (multiplicity 8)
Au  0.0000  0.3193  0.0000 (multiplicity 8)

Results
Fermi-level density of states = 12.6 states/eV per cell
Size of the total moment = 0.000 μB per cell
Formation energy = -459 meV/atom
Uncorrected energy = -3.971 eV/atom

---

# 7
A geometry-optimized TmAl3Au10 structure. Source: the Alexandria database, functional GGA-PBE.

Lattice parameters (Å, degrees): 12.9468 12.9468 12.9468 90.00 90.00 90.00
Space group Fm-3m (No. 225)
One atom of each set of equivalent atoms:
Tm  0.2500  0.2500  0.2500 (multiplicity 8)
Al  0.0000  0.0000  0.2331 (multiplicity 24)
Au  0.0000  0.1714  0.3286 (multiplicity 48)
Au  0.1198  0.1198  0.1198 (multiplicity 32)

Results
Fermi-level density of states = 31.8 states/eV per cell
Size of the total moment = 0.000 μB per cell
Formation energy = -284 meV/atom
Uncorrected energy = -3.746 eV/atom

---

# 8
A geometry-optimized Tm3Al6Au5 structure. Source: the Alexandria database, functional GGA-PBE.

Lattice parameters (Å, degrees): 4.3359 12.7850 9.5951 90.00 90.00 90.00
Space group Pmmn (No. 59, origin choice 2)
One atom of each set of equivalent atoms:
Tm  0.2500  0.0501  0.2470 (multiplicity 4)
Tm  0.2500  0.7500  0.2500 (multiplicity 2)
Al  0.2500  0.0743  0.5942 (multiplicity 4)
Al  0.2500  0.2500  0.0424 (multiplicity 2)
Al  0.2500  0.2500  0.4213 (multiplicity 2)
Al  0.2500  0.5960  0.9815 (multiplicity 4)
Au  0.2500  0.0951  0.8644 (multiplicity 4)
Au  0.2500  0.6278  0.5302 (multiplicity 4)
Au  0.2500  0.7500  0.7939 (multiplicity 2)

Results
Fermi-level density of states = 12.6 states/eV per cell
Size of the total moment = 0.000 μB per cell
Formation energy = -683 meV/atom
Uncorrected energy = -4.415 eV/atom

---

# 9
A geometry-optimized Tm2AlAu structure. Source: the Alexandria database, functional GGA-PBE.

Lattice parameters (Å, degrees): 3.6742 3.6742 25.5722 90.00 90.00 120.00
Space group R-3m (No. 166, hexagonal axes)
One atom of each set of equivalent atoms:
Tm  0.0000  0.0000  0.2463 (multiplicity 6)
Al  0.0000  0.0000  0.0000 (multiplicity 3)
Au  0.0000  0.0000  0.5000 (multiplicity 3)

Results
Excess energy over the best structure of this formula in the dataset = 234.9 meV per atom
Fermi-level density of states = 12.6 states/eV per cell
Size of the total moment = 0.000 μB per cell
Formation energy = -399 meV/atom
Uncorrected energy = -4.390 eV/atom

---

# 10
A geometry-optimized TmAlAu3 structure. Source: the Alexandria database, functional GGA-PBE.

Lattice parameters (Å, degrees): 6.4985 4.4088 7.0225 90.00 104.69 90.00
Space group P2_1/m (No. 11)
One atom of each set of equivalent atoms:
Tm  0.1975  0.2500  0.1906 (multiplicity 2)
Al  0.2170  0.7500  0.5666 (multiplicity 2)
Au  0.0906  0.2500  0.7440 (multiplicity 2)
Au  0.3445  0.7500  0.9564 (multiplicity 2)
Au  0.4809  0.2500  0.6257 (multiplicity 2)

Results
Excess energy over the best structure of this formula in the dataset = 0.0 meV per atom
Fermi-level density of states = 2.3 states/eV per cell
Size of the total moment = 0.000 μB per cell
Formation energy = -665 meV/atom
Uncorrected energy = -4.274 eV/atom

---

# 11
A geometry-optimized YTmAlAu structure. Source: the Alexandria database, functional GGA-PBE.

Lattice parameters (Å, degrees): 3.5428 3.5428 7.3902 90.00 90.00 90.00
Space group P4mm (No. 99)
One atom of each set of equivalent atoms:
Y  0.0000  0.0000  0.0000 (multiplicity 1)
Tm  0.0000  0.0000  0.4864 (multiplicity 1)
Al  0.5000  0.5000  0.7396 (multiplicity 1)
Au  0.5000  0.5000  0.2608 (multiplicity 1)

Results
Excess energy over the best structure of this formula in the dataset = 0.0 meV per atom
Fermi-level density of states = 1.6 states/eV per cell
Size of the total moment = 0.000 μB per cell
Formation energy = -636 meV/atom
Uncorrected energy = -5.125 eV/atom

---

# 12
A geometry-optimized YTmAlAu structure. Source: the Alexandria database, functional GGA-PBE.

Lattice parameters (Å, degrees): 7.2123 7.2123 7.2123 90.00 90.00 90.00
Space group F-43m (No. 216)
One atom of each set of equivalent atoms:
Y  0.0000  0.0000  0.0000 (multiplicity 4)
Tm  0.0000  0.0000  0.5000 (multiplicity 4)
Al  0.2500  0.2500  0.2500 (multiplicity 4)
Au  0.2500  0.2500  0.7500 (multiplicity 4)

Results
Excess energy over the best structure of this formula in the dataset = 48.4 meV per atom
Fermi-level density of states = 8.1 states/eV per cell
Size of the total moment = 0.000 μB per cell
Formation energy = -588 meV/atom
Uncorrected energy = -5.077 eV/atom